# 1
TmPuCd (GGA-PBE, optimized geometry); DFT total energy = -6.60 eV per atom; V = 80.2 Å³/f.u.; distance to the lowest polymorph of the same formula = 0.0000 eV/atom; DFT formation energy = -22.3 meV/atom; D(E_F) = 7.57 states/eV/f.u.
1.0
-1.691 1.691 7.012
1.691 -1.691 7.012
1.691 1.691 -7.012
Tm Pu Cd
1 1 1
Direct
0.000 0.000 0.000
0.680 0.680 0.000
0.346 0.346 0.000

# 2
Pr5Nd2Tm2 (GGA-PBE, optimized geometry); DFT total energy = -4.53 eV per atom; V = 317.8 Å³/f.u.; distance to the lowest polymorph of the same formula = 0.0264 eV/atom; DFT formation energy = 182.4 meV/atom; D(E_F) = 13.03 states/eV/f.u.
1.0
-6.419 4.317 5.735
6.419 -4.317 5.735
6.419 4.317 -5.735
Pr Nd Tm
10 4 4
Direct
0.177 0.086 0.262
0.177 0.414 0.591
0.436 0.635 0.061
0.436 0.874 0.301
0.505 0.493 0.512
0.574 0.135 0.699
0.574 0.374 0.939
0.823 0.586 0.409
0.823 0.914 0.738
0.981 0.993 0.488
0.086 0.318 0.984
0.086 0.602 0.267
0.334 0.102 0.016
0.334 0.818 0.733
0.756 0.256 0.500
0.756 0.756 0.000
0.781 0.139 0.142
0.997 0.639 0.858

# 3
LiTh2UAs4 (GGA-PBE, optimized geometry); DFT total energy = -6.82 eV per atom; V = 204.2 Å³/f.u.; DFT formation energy = -985.2 meV/atom; D(E_F) = 7.77 states/eV/f.u.
1.0
7.113 0.000 0.000
0.000 4.201 0.000
-2.407 0.000 6.834
Li Th U As
1 2 1 4
Direct
0.000 0.000 0.000
0.500 0.000 0.500
0.500 0.500 0.000
0.000 0.500 0.500
0.236 0.000 0.747
0.240 0.500 0.251
0.760 0.500 0.749
0.764 0.000 0.253

# 4
YZn2Cr (GGA-PBE, optimized geometry); DFT total energy = -4.30 eV per atom; V = 88.6 Å³/f.u.; distance to the lowest polymorph of the same formula = 0.3466 eV/atom; DFT formation energy = 357.5 meV/atom; D(E_F) = 3.00 states/eV/f.u.
1.0
-2.190 2.190 9.231
2.190 -2.190 9.231
2.190 2.190 -9.231
Y Zn Cr
2 4 2
Direct
0.000 0.000 0.000
0.750 0.250 0.500
0.238 0.625 0.113
0.375 0.488 0.613
0.512 0.125 0.887
0.875 0.762 0.387
0.250 0.750 0.500
0.500 0.500 0.000